Entry 1:
DFT (GGA-PBE) results for a geometry-optimized CoAu2 structure.

```
CoAu2
1.0
-3.2090 3.2090 2.3518
3.2090 -3.2090 2.3518
3.2090 3.2090 -2.3518
Au Co
4 2
direct
0.3432 0.8432 0.1865
0.8432 0.6568 0.5000
0.1568 0.3432 0.5000
0.6568 0.1568 0.8135
0.2500 0.2500 0.0000
0.7500 0.7500 0.0000
```

Formation enthalpy at 0 K   239 meV/atom
Crystal system   tetragonal

---

Entry 2:
DFT (GGA-PBE) results for a geometry-optimized KSi2Cl structure.

```
KSi2Cl
1.0
-2.1457 -1.7533 -2.8923
2.6532 -2.9969 -0.1516
-8.2481 -10.4691 9.6917
Si K Cl
4 2 2
direct
0.3750 0.4724 0.7500
0.2224 0.6250 0.2500
0.8750 0.7776 0.7500
0.5276 0.1250 0.2500
0.0000 0.0000 0.0000
0.7500 0.2500 0.5000
0.5000 0.5000 0.0000
0.2500 0.7500 0.5000
```

Crystal system   tetragonal
Relative energy among the computed polymorphs   1.18 eV per formula unit
Formation energy from raw total energies   -0.13 eV per atom

---

Entry 3:
DFT (GGA-PBE) results for a geometry-optimized P2HSeS structure.

```
P2HSeS
1.0
-1.3848 3.2266 0.4174
-3.0944 -1.1661 -1.2520
-2.2131 -1.8845 7.2251
Se P S H
1 2 1 1
direct
0.5000 0.5000 0.5000
0.5000 0.0000 0.0000
0.0000 0.5000 0.0000
0.0000 0.0000 0.5000
0.0000 0.0000 0.0000
```

Crystal system   tetragonal
Relative energy among the computed polymorphs   0.00 eV per formula unit

---

Entry 4:
DFT (GGA-PBE) results for a geometry-optimized Tl2W structure.

```
Tl2W
1.0
-1.4691 0.8318 -2.5184
1.1097 -2.8105 0.2495
-7.8414 -2.7714 3.6589
Tl W
2 1
direct
0.6667 0.3333 0.7079
0.3333 0.6667 0.2921
0.0000 0.0000 0.0000
```

Formation enthalpy at 0 K   944 meV/atom
Crystal system   trigonal
Relative energy among the computed polymorphs   0.95 eV per formula unit

---

Entry 5:
DFT (GGA-PBE) results for a geometry-optimized RbCd2Hg6 structure.

```
RbCd2Hg6
1.0
-5.1274 2.0671 0.8456
-0.0651 -2.2551 5.1175
3.4602 7.2567 3.2418
Cd Hg Rb
2 6 1
direct
0.5000 0.5000 0.1612
0.5000 0.5000 0.8388
0.0000 0.5000 0.2988
0.0000 0.5000 0.7012
0.5000 0.0000 0.7012
0.5000 0.0000 0.2988
0.0000 0.0000 0.5000
0.5000 0.5000 0.5000
0.0000 0.0000 0.0000
```

Formation enthalpy at 0 K   -87 meV/atom
Crystal system   tetragonal
Relative energy among the computed polymorphs   0.00 eV per formula unit

---

Entry 6:
DFT (GGA-PBE) results for a geometry-optimized Y3Ho3Er2 structure.

```
Y3Ho3Er2
1.0
6.4199 0.1898 -0.1973
0.1971 6.4196 -0.1973
-0.1901 -0.1898 6.4201
Er Ho Y
2 3 3
direct
0.7503 0.7503 0.2497
0.2497 0.2497 0.7503
0.2332 0.7668 0.0000
0.0000 0.2332 0.2332
0.7668 0.0000 0.7668
0.7357 0.5000 0.7357
0.2643 0.7357 0.5000
0.5000 0.2643 0.2643
```

Formation enthalpy at 0 K   237 meV/atom
Crystal system   trigonal
Relative energy among the computed polymorphs   1.70 eV per formula unit

---

Entry 7:
DFT (GGA-PBE) results for a geometry-optimized CuTeSe2 structure.

```
CuTeSe2
1.0
6.2641 0.0059 -0.0568
5.1958 3.4990 -0.0568
1.5811 0.4836 4.4364
Cu Se Te
1 2 1
direct
0.2500 0.2500 0.2500
0.5972 0.5972 0.3680
0.9028 0.9028 0.1320
0.7500 0.7500 0.7500
```

Crystal system   monoclinic
Formation energy from raw total energies   0.10 eV per atom

---

Entry 8:
DFT (GGA-PBE) results for a geometry-optimized Lu3Ag5O12 structure.

```
Lu3Ag5O12
1.0
-6.5545 8.8801 1.6258
-6.3266 -9.0349 -1.6753
6.4260 -1.5735 8.9829
Ag O Lu
20 48 12
direct
0.1250 0.3750 0.2500
0.8750 0.2500 0.6250
0.8750 0.6250 0.7500
0.6250 0.7500 0.8750
0.2500 0.3750 0.6250
0.3750 0.2500 0.1250
0.7500 0.1250 0.8750
0.2500 0.8750 0.1250
0.5000 0.0000 0.0000
0.6250 0.8750 0.2500
0.1250 0.7500 0.3750
0.5000 0.0000 0.5000
0.0000 0.0000 0.5000
0.0000 0.5000 0.0000
0.5000 0.5000 0.0000
0.5000 0.5000 0.5000
0.0000 0.0000 0.0000
0.0000 0.5000 0.5000
0.7500 0.6250 0.3750
0.3750 0.1250 0.7500
0.4466 0.6636 0.0874
0.4126 0.3592 0.5762
0.4466 0.7830 0.8592
0.5874 0.9466 0.6636
0.7830 0.3364 0.9238
0.9238 0.0874 0.6408
0.3592 0.9466 0.7830
0.9466 0.5874 0.1636
0.0874 0.1636 0.4466
0.7170 0.1408 0.0534
0.2170 0.5534 0.6408
0.6408 0.5874 0.9238
0.7830 0.4466 0.3592
0.3592 0.4126 0.0762
0.5534 0.2170 0.1408
0.4238 0.2830 0.3364
0.2170 0.6636 0.0762
0.0534 0.4126 0.8364
0.6636 0.4466 0.5874
0.0762 0.1636 0.2170
0.4126 0.0534 0.3364
0.8592 0.2830 0.4466
0.7170 0.5762 0.1636
0.9126 0.0762 0.8592
0.6408 0.0534 0.2170
0.0534 0.6408 0.7170
0.8592 0.5762 0.9126
0.8364 0.9238 0.2830
0.6636 0.2170 0.5762
0.9126 0.8364 0.5534
0.1636 0.0874 0.9466
0.0762 0.9126 0.3592
0.5762 0.8592 0.4126
0.9466 0.3592 0.2830
0.1636 0.0762 0.7170
0.5874 0.6408 0.4238
0.9238 0.8364 0.7830
0.4238 0.1408 0.5874
0.3364 0.5534 0.4126
0.0874 0.9238 0.1408
0.1408 0.4238 0.0874
0.5534 0.3364 0.9126
0.1408 0.7170 0.5534
0.3364 0.7830 0.4238
0.2830 0.8592 0.9466
0.8364 0.9126 0.0534
0.2830 0.4238 0.8364
0.5762 0.7170 0.6636
0.8750 0.7500 0.1250
0.1250 0.2500 0.8750
0.8750 0.1250 0.2500
0.6250 0.2500 0.3750
0.6250 0.3750 0.7500
0.3750 0.6250 0.2500
0.7500 0.3750 0.1250
0.1250 0.8750 0.7500
0.2500 0.6250 0.8750
0.2500 0.1250 0.3750
0.7500 0.8750 0.6250
0.3750 0.7500 0.6250
```

Crystal system   cubic
Formation energy from raw total energies   -1.15 eV per atom

---

Entry 9:
DFT (GGA-PBE) results for a geometry-optimized Tc2AgW structure.

```
Tc2AgW
1.0
2.7767 0.0000 0.0000
0.0000 2.7767 0.0000
0.0000 0.0000 8.2422
Tc W Ag
2 1 1
direct
0.0000 0.0000 0.4832
0.0000 0.0000 0.0168
0.5000 0.5000 0.2500
0.5000 0.5000 0.7500
```

Formation enthalpy at 0 K   402 meV/atom
Crystal system   tetragonal
Relative energy among the computed polymorphs   0.43 eV per formula unit

---

Entry 10:
DFT (GGA-PBE) results for a geometry-optimized AlHg2Os structure.

```
AlHg2Os
1.0
-0.8492 -0.2754 -2.7960
-2.1852 -1.7711 0.8382
-5.2638 6.9283 0.9162
Hg Os Al
2 1 1
direct
0.0000 0.0000 0.0101
0.0000 0.0000 0.4899
0.5000 0.5000 0.2500
0.5000 0.5000 0.7500
```

Formation enthalpy at 0 K   770 meV/atom
Crystal system   tetragonal

---

Entry 11:
DFT (GGA-PBE) results for a geometry-optimized Al2ReRu2 structure.

```
Al2ReRu2
1.0
6.9850 0.0000 0.0000
0.0000 6.9850 0.0000
0.0000 0.0000 2.8817
Re Al Ru
2 4 4
direct
0.0000 0.0000 0.0000
0.5000 0.5000 0.0000
0.1318 0.3682 0.0000
0.6318 0.1318 0.0000
0.8682 0.6318 0.0000
0.3682 0.8682 0.0000
0.8325 0.3325 0.5000
0.3325 0.1675 0.5000
0.1675 0.6675 0.5000
0.6675 0.8325 0.5000
```

Formation enthalpy at 0 K   -180 meV/atom
Crystal system   tetragonal

---

Entry 12:
DFT (GGA-PBE) results for a geometry-optimized Ac5DyIr4 structure.

```
Ac5DyIr4
1.0
-2.3137 -1.7397 -3.2334
1.5664 -7.6138 2.9756
-6.6870 3.5187 5.8042
Ac Ir Dy
5 4 1
direct
0.5000 0.5000 0.0000
0.8338 0.1462 0.6675
0.8401 0.6722 0.6802
0.1599 0.3278 0.3198
0.1662 0.8538 0.3325
0.9981 0.2426 0.9963
0.6674 0.1013 0.3347
0.0019 0.7574 0.0037
0.3326 0.8987 0.6653
0.5000 0.0000 0.0000
```

Formation enthalpy at 0 K   -572 meV/atom
Crystal system   monoclinic
Relative energy among the computed polymorphs   0.00 eV per formula unit

---

Entry 13:
DFT (GGA-PBE) results for a geometry-optimized LaDy6Er4 structure.

```
LaDy6Er4
1.0
7.6527 0.0000 0.0000
0.0000 7.6527 0.0000
-3.8263 -3.8263 6.4980
La Er Dy
1 4 6
direct
0.5000 0.5000 0.0000
0.0849 0.7616 0.8465
0.2384 0.2384 0.1535
0.7616 0.0849 0.8465
0.9151 0.9151 0.1535
0.4399 0.9356 0.3755
0.5000 0.0000 0.0000
0.0644 0.0644 0.6245
0.9356 0.4399 0.3755
0.0000 0.5000 0.0000
0.5601 0.5601 0.6245
```

Formation enthalpy at 0 K   429 meV/atom
Crystal system   tetragonal
Relative energy among the computed polymorphs   3.35 eV per formula unit

---

Entry 14:
DFT (GGA-PBE) results for a geometry-optimized ZrV3Ni structure.

```
ZrV3Ni
1.0
4.5993 0.0000 0.0000
0.0000 4.5993 0.0000
0.0000 0.0000 4.5993
V Ni Zr
3 1 1
direct
0.0000 0.5000 0.0000
0.0000 0.0000 0.5000
0.5000 0.0000 0.0000
0.5000 0.5000 0.5000
0.0000 0.0000 0.0000
```

Formation enthalpy at 0 K   1873 meV/atom
Crystal system   cubic
Relative energy among the computed polymorphs   5.92 eV per formula unit

---

Entry 15:
DFT (GGA-PBE) results for a geometry-optimized PmCu2 structure.

```
PmCu2
1.0
3.7319 0.0000 0.0000
0.0000 4.2692 -0.0068
0.0000 -2.1286 3.7010
Cu Pm
2 1
direct
0.0000 0.3333 0.6667
0.0000 0.6667 0.3333
0.5000 0.0000 0.0000
```

Formation enthalpy at 0 K   -217 meV/atom
Crystal system   hexagonal
Relative energy among the computed polymorphs   0.02 eV per formula unit

---

Entry 16:
DFT (GGA-PBE) results for a geometry-optimized AcSi3Ni structure.

```
AcSi3Ni
1.0
-3.2462 2.1086 -1.9632
-1.8114 -3.7937 -1.0795
0.0493 0.8557 5.6355
Si Ni Ac
3 1 1
direct
0.7612 0.2612 0.5223
0.2612 0.7612 0.5223
0.4043 0.4043 0.8086
0.6567 0.6567 0.3133
0.0070 0.0070 0.0140
```

Crystal system   tetragonal
Relative energy among the computed polymorphs   0.00 eV per formula unit
Formation energy from raw total energies   -0.58 eV per atom

---

Entry 17:
DFT (GGA-PBE) results for a geometry-optimized LiCu3N structure.

```
LiCu3N
1.0
3.9855 0.0000 0.0000
0.0000 3.9855 0.0000
0.0000 0.0000 3.9855
Cu N Li
3 1 1
direct
0.5000 0.0000 0.0000
0.0000 0.0000 0.5000
0.0000 0.5000 0.0000
0.5000 0.5000 0.5000
0.0000 0.0000 0.0000
```

Crystal system   cubic
Relative energy among the computed polymorphs   7.32 eV per formula unit
Formation energy from raw total energies   1.61 eV per atom

---

Entry 18:
DFT (GGA-PBE) results for a geometry-optimized Nb5AlGa structure.

```
Nb5AlGa
1.0
-3.9311 6.3053 -1.8490
-2.9468 -7.0661 0.1217
0.2102 0.8381 5.5815
Nb Al Ga
10 2 2
direct
0.6381 0.9520 0.6458
0.7756 0.4368 0.5595
0.0480 0.3619 0.8542
0.4368 0.7756 0.0595
0.1725 0.8275 0.7500
0.8275 0.1725 0.2500
0.5632 0.2244 0.9405
0.3619 0.0480 0.3542
0.2244 0.5632 0.4405
0.9520 0.6381 0.1458
0.5054 0.4946 0.2500
0.4946 0.5054 0.7500
0.0000 0.0000 0.0000
0.0000 0.0000 0.5000
```

Formation enthalpy at 0 K   16 meV/atom
Crystal system   monoclinic

---

Entry 19:
DFT (GGA-PBE) results for a geometry-optimized CeBeRh3 structure.

```
CeBeRh3
1.0
-4.7950 -0.6732 -0.8334
1.2731 -1.4969 -6.1163
-0.3358 -3.9074 5.0883
Rh Be Ce
6 2 2
direct
0.0000 0.0000 0.0000
0.2500 0.0682 0.4098
0.2500 0.5902 0.9318
0.5000 0.0000 0.0000
0.7500 0.9318 0.5902
0.7500 0.4098 0.0682
0.7500 0.8220 0.1780
0.2500 0.1780 0.8220
0.2500 0.6036 0.3964
0.7500 0.3964 0.6036
```

Formation enthalpy at 0 K   -529 meV/atom
Crystal system   orthorhombic
Relative energy among the computed polymorphs   0.50 eV per formula unit

---

Entry 20:
DFT (GGA-PBE) results for a geometry-optimized CdIn2Se structure.

```
CdIn2Se
1.0
-4.6234 -0.1469 -4.4225
-1.0465 -5.0351 -3.8090
0.9068 1.4379 6.1698
Se In Cd
1 2 1
direct
0.5000 0.5000 0.0000
0.0000 0.0000 0.0000
0.2500 0.7500 0.5000
0.7500 0.2500 0.5000
```

Crystal system   tetragonal
Relative energy among the computed polymorphs   0.48 eV per formula unit
Formation energy from raw total energies   -0.07 eV per atom

---

no.,M_tot (μB per formula unit)
1,1.81
2,0.00
3,0.00
4,0.00
5,0.00
6,6.64
7,0.00
8,0.00
9,0.00
10,1.19
11,0.00
12,0.00
13,0.00
14,4.42
15,0.00
16,0.00
17,0.00
18,0.00
19,0.00
20,0.00